[1]
Here is CeAgBr4 after structural relaxation from the Alexandria database. Energies are from PBE.

Unit cell a=4.3370 b=6.9293 c=7.1756 alpha=85.48 beta=90.00 gamma=90.00
Last column: nearest neighbours and their distance in Å.
Positions (direct):
Ce 0.5000 0.0000 0.5000  6 Br 2.89-2.96
Ag 0.0000 0.0000 0.0000  6 Br 2.89-3.09
Br 0.5000 0.2213 0.8253  2 Ag 2.89, 1 Ce 2.89
Br 0.5000 0.7787 0.1747  2 Ag 2.89, 1 Ce 2.89
Br 0.0000 0.2500 0.3380  2 Ce 2.96, 1 Ag 3.09
Br 0.0000 0.7500 0.6620  2 Ce 2.96, 1 Ag 3.09

Results
uncorrected formation energy	-1.291	eV per atom
space-group type	P2/m (10)
D(E_F)	8.09	states/eV/cell
mass density	4.38	Mg/m³
VASP energy	-3.87	eV/atom

=====

[2]
Here is CeAg3Br6Cl2 after structural relaxation from the Alexandria database. Energies are from PBE.

Unit cell a=6.6325 b=8.0448 c=7.9366 alpha=120.45 beta=100.42 gamma=90.00
Last column: nearest neighbours and their distance in Å.
Positions (direct):
Ce 0.5000 0.0000 0.0000  6 Br 2.81-2.84
Ag 0.0000 0.5000 0.0000  2 Cl 2.47
Ag 0.5000 0.5000 0.5000  2 Cl 2.69, 4 Br 2.78-2.95
Ag 0.5000 0.0000 0.5000  2 Cl 2.69, 4 Br 2.78-2.95
Br 0.7592 0.3498 0.1981  1 Ce 2.81, 2 Ag 2.95-3.05
Br 0.2408 0.6502 0.8019  1 Ce 2.81, 2 Ag 2.95-3.05
Br 0.7461 0.8531 0.7063  2 Ag 2.78, 1 Ce 2.84
Br 0.2539 0.1469 0.2937  2 Ag 2.78, 1 Ce 2.84
Br 0.2408 0.1516 0.8019  1 Ce 2.81, 2 Ag 2.95-3.05
Br 0.7592 0.8484 0.1981  1 Ce 2.81, 2 Ag 2.95-3.05
Cl 0.2707 0.6545 0.3091  3 Ag 2.47-2.69
Cl 0.7293 0.3455 0.6909  3 Ag 2.47-2.69

Results
uncorrected formation energy	-0.839	eV per atom
space-group type	C2/m (12)
D(E_F)	8.62	states/eV/cell
mass density	4.72	Mg/m³
VASP energy	-3.19	eV/atom

=====

[3]
Here is CsCeAg2Br8 after structural relaxation from the Alexandria database. Energies are from PBE.

Unit cell a=8.0271 b=8.0271 c=9.7370 alpha=90.00 beta=90.00 gamma=120.00
Last column: nearest neighbours and their distance in Å.
Positions (direct):
Cs 0.0000 0.0000 0.5000  6 Br 3.87
Ce 0.0000 0.0000 0.0000  6 Br 2.79
Ag 0.3333 0.6667 0.7001  4 Br 2.52-2.71
Ag 0.6667 0.3333 0.2999  4 Br 2.52-2.71
Br 0.1595 0.3190 0.8258  1 Ag 2.71, 1 Ce 2.79
Br 0.1595 0.8405 0.8258  1 Ag 2.71, 1 Ce 2.79
Br 0.6810 0.8405 0.8258  1 Ag 2.71, 1 Ce 2.79
Br 0.3190 0.1595 0.1742  1 Ag 2.71, 1 Ce 2.79
Br 0.6667 0.3333 0.5589  1 Ag 2.52
Br 0.3333 0.6667 0.4411  1 Ag 2.52
Br 0.8405 0.6810 0.1742  1 Ag 2.71, 1 Ce 2.79
Br 0.8405 0.1595 0.1742  1 Ag 2.71, 1 Ce 2.79

Results
uncorrected formation energy	-0.977	eV per atom
space-group type	P-3m1 (164)
D(E_F)	21.04	states/eV/cell
mass density	3.45	Mg/m³
VASP energy	-3.13	eV/atom